# Te2Pb3Cl2O6 GGA-PBE optimized geometry
data_Te2Pb3Cl2O6
_chemical_formula_sum 'Te8 Pb12 Cl8 O24'
_cell_length_a 16.7760
_cell_length_b 5.7090
_cell_length_c 11.1583
_cell_angle_alpha 90.00
_cell_angle_beta 104.17
_cell_angle_gamma 90.00
_space_group_name_H-M_alt 'C 1 2/m 1'
_space_group_IT_number 12
_space_group_name_Hall '-C 2y'
loop_
_atom_site_label
_atom_site_type_symbol
_atom_site_fract_x
_atom_site_fract_y
_atom_site_fract_z
Te1 Te 0.1026 0.0000 0.0537
Te2 Te 0.1277 0.5000 0.5925
Pb1 Pb 0.0204 0.5000 0.1992
Pb2 Pb 0.1625 0.0000 0.3912
Pb3 Pb 0.2382 0.0000 0.7963
Cl1 Cl 0.0425 0.0000 0.7075
Cl2 Cl 0.1844 0.5000 0.8992
O1 O 0.0000 0.2156 0.0000
O2 O 0.1025 0.5000 0.4184
O3 O 0.1319 0.2341 0.1858
O4 O 0.2092 0.2595 0.6144
# Electronic total energy (eV per atom): -5.0818
# Energy relative to the elements, uncorrected (eV/atom): -1.1701
# Magnetization (μB/f.u.): 0.00